Entry 1:
A geometry-optimized Pm2Y8Al structure. Source: the Alexandria database, functional PBE.

Energy   -63.8 eV for the cell shown
Calculated volume   32.69 Å³/atom
ΔH_f (0 K)   0.11 eV/atom
Energy relative to the lowest polymorph listed for this composition   1.63 eV per formula unit
Mass density   4.749 Mg/m³
Total magnetic moment   0.00 μB per cell

Cell and atoms, written as POSCAR:
```
Pm2Y8Al
1.0
5.777 -0.481 -0.336
0.467 9.428 2.451
0.467 5.546 8.009
Pm Y Al
2 8 1
Cartesian
4.537 3.805 2.658
2.175 10.687 7.465
1.859 4.643 5.262
1.859 6.538 2.549
4.853 9.849 4.862
1.821 8.155 5.697
4.853 7.954 7.574
1.461 2.403 1.678
5.251 12.089 8.445
4.891 6.337 4.426
0.000 0.000 0.000
```

Entry 2:
A geometry-optimized PmY4Al structure. Source: the Alexandria database, functional PBE.

Energy   -69.4 eV for the cell shown
Calculated volume   30.39 Å³/atom
ΔH_f (0 K)   -0.06 eV/atom
Energy relative to the lowest polymorph listed for this composition   0.45 eV per formula unit
Mass density   4.805 Mg/m³
Total magnetic moment   0.00 μB per cell

Cell and atoms, written as POSCAR:
```
PmY4Al
1.0
6.199 -0.610 0.000
-2.410 8.681 0.000
-1.894 -4.035 6.967
Pm Y Al
2 8 2
Cartesian
0.345 4.188 1.490
1.550 -0.153 5.477
-1.671 -1.681 5.537
1.847 3.179 4.434
-1.428 1.986 5.537
-1.158 5.196 4.434
3.052 -1.161 2.533
3.322 2.049 1.430
0.048 0.856 2.533
3.566 5.716 1.430
-2.755 4.493 6.957
4.649 -0.458 0.010
```

Entry 3:
A geometry-optimized Pm2YAl structure. Source: the Alexandria database, functional PBE.

Energy   -20.4 eV for the cell shown
Calculated volume   28.43 Å³/atom
ΔH_f (0 K)   -0.17 eV/atom
Energy relative to the lowest polymorph listed for this composition   0.05 eV per formula unit
Mass density   5.927 Mg/m³
Total magnetic moment   0.00 μB per cell

Cell and atoms, written as POSCAR:
```
Pm2YAl
1.0
-0.568 -1.375 4.664
2.188 -4.184 -0.967
4.258 1.972 1.100
Y Al Pm
1 1 2
Cartesian
-0.284 -0.687 2.332
2.939 -1.793 2.399
2.129 0.986 0.550
1.094 -2.092 -0.483
```

Entry 4:
A geometry-optimized Pm3Y2Al3 structure. Source: the Alexandria database, functional PBE.

Energy   -40.2 eV for the cell shown
Calculated volume   26.55 Å³/atom
ΔH_f (0 K)   -0.23 eV/atom
Mass density   5.425 Mg/m³
Total magnetic moment   0.00 μB per cell

Cell and atoms, written as POSCAR:
```
Pm3Y2Al3
1.0
-2.211 -2.478 -0.139
6.378 -5.622 -1.222
-2.603 1.876 7.967
Pm Y Al
3 2 3
Cartesian
2.858 -2.835 5.106
1.550 -1.366 -0.297
-0.632 0.456 1.936
0.391 -0.623 4.904
3.384 -3.122 1.841
0.350 -2.683 2.531
2.814 -4.693 -0.820
-2.705 -0.086 4.826
```

Entry 5:
A geometry-optimized Pm2YAl structure. Source: the Alexandria database, functional PBE.

Energy   -20.3 eV for the cell shown
Calculated volume   29.59 Å³/atom
ΔH_f (0 K)   -0.15 eV/atom
Energy relative to the lowest polymorph listed for this composition   0.15 eV per formula unit
Mass density   5.694 Mg/m³
Total magnetic moment   0.00 μB per cell

Cell and atoms, written as POSCAR:
```
Pm2YAl
1.0
3.572 0.000 0.000
0.000 3.572 0.000
0.000 0.000 9.275
Y Al Pm
1 1 2
Cartesian
1.786 1.786 4.638
1.786 1.786 0.000
0.000 0.000 7.290
0.000 0.000 1.985
```

Entry 6:
A geometry-optimized PmY5Al6 structure. Source: the Alexandria database, functional PBE.

Energy   -64.4 eV for the cell shown
Calculated volume   23.77 Å³/atom
ΔH_f (0 K)   -0.41 eV/atom
Mass density   4.375 Mg/m³
Total magnetic moment   0.00 μB per cell

Cell and atoms, written as POSCAR:
```
PmY5Al6
1.0
-3.862 1.334 -3.073
-4.623 -3.716 4.196
-3.120 6.948 2.716
Y Al Pm
5 6 1
Cartesian
-6.971 3.687 1.876
-2.329 2.769 -0.113
-2.312 -1.858 2.098
-4.653 5.512 -0.245
-4.634 0.878 1.962
-7.712 0.682 1.491
-5.439 2.509 -0.572
-3.100 -0.272 -0.476
-5.386 -2.110 1.599
-6.166 2.057 4.411
-3.893 3.884 2.348
0.000 0.000 0.000
```

- Among the records above, which one has the lowest mass density?
  PmY5Al6

- Which value of energy does entry 6 give?
  -64.4 eV for the cell shown

Copy entry 6 word for word.
A geometry-optimized PmY5Al6 structure. Source: the Alexandria database, functional PBE.

Energy   -64.4 eV for the cell shown
Calculated volume   23.77 Å³/atom
ΔH_f (0 K)   -0.41 eV/atom
Mass density   4.375 Mg/m³
Total magnetic moment   0.00 μB per cell

Cell and atoms, written as POSCAR:
```
PmY5Al6
1.0
-3.862 1.334 -3.073
-4.623 -3.716 4.196
-3.120 6.948 2.716
Y Al Pm
5 6 1
Cartesian
-6.971 3.687 1.876
-2.329 2.769 -0.113
-2.312 -1.858 2.098
-4.653 5.512 -0.245
-4.634 0.878 1.962
-7.712 0.682 1.491
-5.439 2.509 -0.572
-3.100 -0.272 -0.476
-5.386 -2.110 1.599
-6.166 2.057 4.411
-3.893 3.884 2.348
0.000 0.000 0.000
```

- The highest ΔH_f (0 K) belongs to which entry?
  Pm2Y8Al